[1]
Entry from Alexandria via LeMat-Bulk: a relaxed Ce2PuCd crystal (PBE-GGA).

* energy above the lowest structure with this stoichiometry: 468 meV per atom
* energy of formation: 1.71 eV/f.u.
* E: -6.35 eV per atom
* density: 9.58 g/cm3

Lattice parameters (Å, degrees): 3.6338 3.6338 28.9599 90.00 90.00 120.00
Space group R-3m (No. 166, hexagonal axes)
Inequivalent atoms, fractional coordinates:
Ce: 0.0000 0.0000 0.1135 x6
Pu: 0.0000 0.0000 0.5000 x3
Cd: 0.0000 0.0000 0.0000 x3

---

[2]
Entry from Alexandria via LeMat-Bulk: a relaxed TbDy2Er2 crystal (PBE-GGA).

* energy above the lowest structure with this stoichiometry: 0 meV per atom
* energy of formation: 0.45 eV/f.u.
* E: -4.50 eV per atom
* density: 8.65 g/cm3

Lattice parameters (Å, degrees): 9.227 9.227 3.692 90.00 90.00 90.00
Space group P4/mbm (No. 127)
Inequivalent atoms, fractional coordinates:
Tb: 0.000 0.000 0.000 x2
Dy: 0.127 0.373 0.000 x4
Er: 0.171 0.671 0.500 x4

---

[3]
Entry from Alexandria via LeMat-Bulk: a relaxed UFe5Co5Si2 crystal (PBE-GGA).

* E: -7.86 eV per atom
* formation energy (no corrections): -0.17 eV per atom
* density: 9.11 g/cm3

Lattice parameters (Å, degrees): 11.435 4.821 8.083 90.00 134.76 90.00
Space group Cm (No. 8)
Inequivalent atoms, fractional coordinates:
U: 0.000 0.000 0.000 x2
Fe: 0.001 0.500 0.224 x2
Fe: 0.002 0.500 0.778 x2
Fe: 0.224 0.500 0.224 x2
Fe: 0.250 0.249 0.996 x4
Co: 0.001 0.000 0.345 x2
Co: 0.155 0.500 0.650 x2
Co: 0.272 0.000 0.768 x2
Co: 0.345 0.000 0.349 x2
Co: 0.496 0.500 0.650 x2
Si: 0.250 0.250 0.501 x4

---

[4]
Entry from Alexandria via LeMat-Bulk: a relaxed LiSc2Ta crystal (PBE-GGA).

* energy above the lowest structure with this stoichiometry: 132 meV per atom
* energy of formation: 1.05 eV/f.u.
* E: -6.34 eV per atom
* density: 5.62 g/cm3

Lattice parameters (Å, degrees): 6.602 8.271 3.005 90.00 90.00 90.00
Space group Cmmm (No. 65)
Inequivalent atoms, fractional coordinates:
Li: 0.000 0.000 0.000 x2
Sc: 0.250 0.250 0.500 x4
Ta: 0.000 0.500 0.000 x2

---

[5]
Entry from Alexandria via LeMat-Bulk: a relaxed Ni2AsRuI crystal (PBE-GGA).

* E: -3.74 eV per atom
* formation energy (no corrections): 1.67 eV per atom
* density: 6.14 g/cm3

Lattice parameters (Å, degrees): 4.506 4.506 5.597 90.00 90.00 90.00
Space group P4/mmm (No. 123)
Inequivalent atoms, fractional coordinates:
Ni: 0.000 0.500 0.000 x2
As: 0.000 0.000 0.500 x1
Ru: 0.500 0.500 0.500 x1
I: 0.000 0.000 0.000 x1

---

[6]
Entry from Alexandria via LeMat-Bulk: a relaxed CaAs2CBr crystal (PBE-GGA).

* energy above the lowest structure with this stoichiometry: 1419 meV per atom
* E: -2.73 eV per atom
* formation energy (no corrections): 1.71 eV per atom
* density: 2.72 g/cm3

Lattice parameters (Å, degrees): 5.642 5.642 5.406 90.00 90.00 90.00
Space group P4/mmm (No. 123)
Inequivalent atoms, fractional coordinates:
Ca: 0.000 0.000 0.000 x1
As: 0.000 0.500 0.000 x2
C: 0.500 0.500 0.500 x1
Br: 0.000 0.000 0.500 x1

---

[7]
Entry from Alexandria via LeMat-Bulk: a relaxed Sb2PtCl crystal (PBE-GGA).

* energy above the lowest structure with this stoichiometry: 405 meV per atom
* E: -4.11 eV per atom
* formation energy (no corrections): -0.07 eV per atom
* density: 9.53 g/cm3

Lattice parameters (Å, degrees): 6.914 6.914 6.914 90.00 90.00 90.00
Space group Fm-3m (No. 225)
Inequivalent atoms, fractional coordinates:
Sb: 0.250 0.250 0.250 x8
Pt: 0.000 0.000 0.000 x4
Cl: 0.000 0.000 0.500 x4

---

[8]
Entry from Alexandria via LeMat-Bulk: a relaxed Sm2AlTlO6 crystal (PBE-GGA).

* E: -7.00 eV per atom
* formation energy (no corrections): -2.47 eV per atom
* density: 7.21 g/cm3

Lattice parameters (Å, degrees): 5.326 5.326 5.102 90.00 90.00 90.00
Space group P4mm (No. 99)
Inequivalent atoms, fractional coordinates:
Sm: 0.000 0.500 0.000 x2
Al: 0.000 0.000 0.598 x1
Tl: 0.500 0.500 0.551 x1
O: 0.000 0.000 0.245 x1
O: 0.233 0.233 0.735 x4
O: 0.500 0.500 0.136 x1

---

[9]
Entry from Alexandria via LeMat-Bulk: a relaxed ScOsPd2 crystal (PBE-GGA).

* energy above the lowest structure with this stoichiometry: 0 meV per atom
* energy of formation: -0.30 eV/f.u.
* E: -7.06 eV per atom
* density: 11.38 g/cm3

Lattice parameters (Å, degrees): 6.395 6.395 6.395 90.00 90.00 90.00
Space group Fm-3m (No. 225)
Inequivalent atoms, fractional coordinates:
Sc: 0.000 0.000 0.000 x4
Os: 0.000 0.000 0.500 x4
Pd: 0.250 0.250 0.250 x8

---

[10]
Entry from Alexandria via LeMat-Bulk: a relaxed FeNi2W crystal (PBE-GGA).

* energy above the lowest structure with this stoichiometry: 81 meV per atom
* energy of formation: 0.25 eV/f.u.
* E: -8.18 eV per atom
* density: 11.89 g/cm3

Lattice parameters (Å, degrees): 2.621 2.621 7.261 90.00 90.00 90.00
Space group P4mm (No. 99)
Inequivalent atoms, fractional coordinates:
Fe: 0.000 0.000 0.000 x1
Ni: 0.000 0.000 0.462 x1
Ni: 0.500 0.500 0.227 x1
W: 0.500 0.500 0.721 x1

---

[11]
Entry from Alexandria via LeMat-Bulk: a relaxed Sr2CaMg6 crystal (PBE-GGA).

* energy of formation: -0.26 eV/f.u.
* E: -1.69 eV per atom
* density: 2.12 g/cm3

Lattice parameters (Å, degrees): 9.3755 9.3755 3.7091 90.00 90.00 120.00
Space group P6/mmm (No. 191)
Inequivalent atoms, fractional coordinates:
Sr: 0.3333 0.6667 0.0000 x2
Ca: 0.0000 0.0000 0.0000 x1
Mg: 0.0000 0.3295 0.5000 x6

---

[12]
Entry from Alexandria via LeMat-Bulk: a relaxed CePu5Pb6 crystal (PBE-GGA).

* energy of formation: -1.91 eV/f.u.
* E: -8.48 eV per atom
* density: 12.60 g/cm3

Lattice parameters (Å, degrees): 16.343 7.321 5.738 90.00 92.00 90.00
Space group C2/m (No. 12)
Inequivalent atoms, fractional coordinates:
Ce: 0.000 0.000 0.000 x2
Pu: 0.000 0.500 0.000 x2
Pu: 0.162 0.000 0.678 x4
Pu: 0.164 0.500 0.679 x4
Pb: 0.000 0.254 0.500 x4
Pb: 0.168 0.252 0.177 x8

---

[13]
Entry from Alexandria via LeMat-Bulk: a relaxed Ce3GeRh crystal (PBE-GGA).

* energy of formation: -2.94 eV/f.u.
* E: -6.54 eV per atom
* density: 7.57 g/cm3

Lattice parameters (Å, degrees): 3.917 3.917 8.522 90.00 90.00 90.00
Space group P4/mmm (No. 123)
Inequivalent atoms, fractional coordinates:
Ce: 0.000 0.000 0.000 x1
Ce: 0.500 0.500 0.337 x2
Ge: 0.000 0.000 0.500 x1
Rh: 0.500 0.500 0.000 x1

---

[14]
Entry from Alexandria via LeMat-Bulk: a relaxed ScBeW crystal (PBE-GGA).

* energy above the lowest structure with this stoichiometry: 103 meV per atom
* energy of formation: 0.37 eV/f.u.
* E: -7.55 eV per atom
* density: 8.25 g/cm3

Lattice parameters (Å, degrees): 4.832 4.137 5.143 90.00 111.35 90.00
Space group P2_1/m (No. 11)
Inequivalent atoms, fractional coordinates:
Sc: 0.055 0.250 0.233 x2
Be: 0.371 0.750 0.537 x2
W: 0.414 0.250 0.846 x2

---

[15]
Entry from Alexandria via LeMat-Bulk: a relaxed Sc2MnW crystal (PBE-GGA).

* energy above the lowest structure with this stoichiometry: 233 meV per atom
* energy of formation: 1.12 eV/f.u.
* E: -8.42 eV per atom
* density: 7.70 g/cm3

Lattice parameters (Å, degrees): 3.685 4.428 8.686 90.00 90.00 90.00
Space group Cmmm (No. 65)
Inequivalent atoms, fractional coordinates:
Sc: 0.000 0.000 0.234 x4
Mn: 0.000 0.500 0.000 x2
W: 0.000 0.500 0.500 x2

---

[16]
Entry from Alexandria via LeMat-Bulk: a relaxed Al2IrBr crystal (PBE-GGA).

* energy above the lowest structure with this stoichiometry: 187 meV per atom
* E: -4.83 eV per atom
* formation energy (no corrections): -0.33 eV per atom
* density: 7.43 g/cm3

Lattice parameters (Å, degrees): 3.3189 3.3189 22.9317 90.00 90.00 120.00
Space group R-3m (No. 166, hexagonal axes)
Inequivalent atoms, fractional coordinates:
Al: 0.0000 0.0000 0.2376 x6
Ir: 0.0000 0.0000 0.5000 x3
Br: 0.0000 0.0000 0.0000 x3

---

[17]
Entry from Alexandria via LeMat-Bulk: a relaxed Al5Sb crystal (PBE-GGA).

* energy above the lowest structure with this stoichiometry: 2 meV per atom
* E: -3.69 eV per atom
* formation energy (no corrections): 0.12 eV per atom
* density: 3.78 g/cm3

Lattice parameters (Å, degrees): 3.062 3.062 12.029 90.00 90.00 90.00
Space group P4/mmm (No. 123)
Inequivalent atoms, fractional coordinates:
Al: 0.000 0.000 0.000 x1
Al: 0.000 0.000 0.304 x2
Al: 0.500 0.500 0.152 x2
Sb: 0.500 0.500 0.500 x1

---

[18]
Entry from Alexandria via LeMat-Bulk: a relaxed La6Tb12Tm crystal (PBE-GGA).

* energy above the lowest structure with this stoichiometry: 0 meV per atom
* energy of formation: 2.98 eV/f.u.
* E: -4.56 eV per atom
* density: 7.43 g/cm3

Lattice parameters (Å, degrees): 12.2874 12.2874 14.9160 90.00 90.00 120.00
Space group R-3 (No. 148, hexagonal axes)
Inequivalent atoms, fractional coordinates:
La: 0.0338 0.5610 0.2329 x18
Tb: 0.0731 0.8855 0.2943 x18
Tb: 0.0778 0.1973 0.9020 x18
Tm: 0.0000 0.0000 0.5000 x3

---

[19]
Entry from Alexandria via LeMat-Bulk: a relaxed ZrAg2H2 crystal (PBE-GGA).

* E: -4.22 eV per atom
* density: 7.52 g/cm3

Lattice parameters (Å, degrees): 5.568 5.568 4.399 90.00 90.00 90.00
Space group P4/mbm (No. 127)
Inequivalent atoms, fractional coordinates:
Zr: 0.000 0.000 0.000 x2
Ag: 0.176 0.324 0.500 x4
H: 0.177 0.323 0.000 x4

---

[20]
Entry from Alexandria via LeMat-Bulk: a relaxed CsSm2NpS5 crystal (PBE-GGA).

* E: -6.54 eV per atom
* formation energy (no corrections): -1.66 eV per atom
* density: 5.41 g/cm3

Lattice parameters (Å, degrees): 5.053 7.282 13.866 90.00 90.00 90.00
Space group Immm (No. 71)
Inequivalent atoms, fractional coordinates:
Cs: 0.000 0.000 0.000 x2
Sm: 0.000 0.500 0.207 x4
Np: 0.000 0.000 0.500 x2
S: 0.000 0.230 0.344 x8
S: 0.000 0.500 0.000 x2

---

[21]
Entry from Alexandria via LeMat-Bulk: a relaxed Cs3Te4Pb2 crystal (PBE-GGA).

* energy above the lowest structure with this stoichiometry: 0 meV per atom
* E: -3.22 eV per atom
* formation energy (no corrections): -0.72 eV per atom
* density: 4.99 g/cm3

Lattice parameters (Å, degrees): 19.144 5.644 8.593 90.00 108.47 90.00
Space group C2/m (No. 12)
Inequivalent atoms, fractional coordinates:
Cs: 0.000 0.000 0.000 x2
Cs: 0.131 0.000 0.549 x4
Te: 0.030 0.500 0.701 x4
Te: 0.218 0.000 0.182 x4
Pb: 0.169 0.500 0.998 x4

---

DOS(E_F) list, top to bottom, in states/eV/atom: 2.4177, 0.8529, 1.1389, 1.3697, 1.8713, 1.3877, 0.5906, 0.0000, 1.1030, 0.7152, 0.7827, 4.5583, 2.4670, 0.6271, 1.3633, 0.5952, 0.4616, 1.5962, 0.0938, 1.1015, 0.1957